Computed, not measured: an optimized crystal structure of PuGaBi2 at the PBE level of DFT.

Computed properties:
D(E_F) in states/eV/f.u.: 14.322
Crystal system: cubic
VASP energy in eV/atom: -6.30
Symmetry: Fm-3m (225)
Total magnetic moment in μB/f.u.: 5.464
Mass density in g/cm3: 10.586
ΔE to the lowest computed polymorph in eV/atom: 0.229
Calculated formation energy in eV/atom: -0.02

Unit cell a=7.714 b=7.714 c=7.714 alpha=90.00 beta=90.00 gamma=90.00
Element x y z (fractional)
Pu 0.000 0.000 0.000
Pu 0.000 0.500 0.500
Pu 0.500 0.000 0.500
Pu 0.500 0.500 0.000
Ga 0.000 0.000 0.500
Ga 0.000 0.500 0.000
Ga 0.500 0.000 0.000
Ga 0.500 0.500 0.500
Bi 0.250 0.250 0.250
Bi 0.250 0.250 0.750
Bi 0.250 0.750 0.250
Bi 0.250 0.750 0.750
Bi 0.750 0.250 0.250
Bi 0.750 0.250 0.750
Bi 0.750 0.750 0.250
Bi 0.750 0.750 0.750

Computed, not measured: an optimized crystal structure of ThZnGe2Pd at the PBE level of DFT.

Computed properties:
D(E_F) in states/eV/f.u.: 1.921
Crystal system: tetragonal
VASP energy in eV/atom: -5.24
Symmetry: I-4m2 (119)
Total magnetic moment in μB/f.u.: 0.000
Mass density in g/cm3: 9.523
Calculated formation energy in eV/atom: -0.61

Unit cell a=4.218 b=4.218 c=10.762 alpha=90.00 beta=90.00 gamma=90.00
Element x y z (fractional)
Th 0.000 0.000 0.000
Th 0.500 0.500 0.500
Zn 0.000 0.500 0.750
Zn 0.500 0.000 0.250
Ge 0.000 0.000 0.384
Ge 0.000 0.000 0.616
Ge 0.500 0.500 0.116
Ge 0.500 0.500 0.884
Pd 0.000 0.500 0.250
Pd 0.500 0.000 0.750